DyTe3Au2 (GGA-PBE, optimized geometry); formation energy (no corrections) = -0.5869 eV per atom; total energy = -0.14763 Ha/atom; crystal system = monoclinic; space-group type = C2/m, No. 12; ρ = 8.74 g/cm³; magnetic moment = 0.00 μB per formula unit
1.0
-3.504 0.093 2.385
4.325 -0.538 6.376
1.556 10.928 -1.907
Dy Au Te
2 4 6
direct
0.351 0.955 0.702
0.649 0.045 0.298
0.705 0.440 0.409
0.950 0.850 0.901
0.295 0.560 0.591
0.050 0.150 0.099
0.082 0.811 0.163
0.581 0.374 0.161
0.918 0.189 0.837
0.248 0.206 0.497
0.419 0.626 0.839
0.752 0.794 0.503

=====

Dy3ThAu2 (GGA-PBE, optimized geometry); energy of formation = -0.566 eV per atom; total energy = -0.19097 Ha/atom; crystal system = tetragonal; space-group type = P4/mmm, No. 123; ρ = 11.84 g/cm³; magnetic moment = 0.00 μB per formula unit
1.0
-0.894 -3.290 -1.171
3.036 -0.135 -1.938
5.754 -4.893 9.354
Dy Au Th
3 2 1
direct
0.000 0.000 0.000
0.000 0.000 0.297
0.000 0.000 0.703
0.500 0.500 0.149
0.500 0.500 0.851
0.500 0.500 0.500

=====

Dy2ThAu3 (GGA-PBE, optimized geometry); energy of formation = -0.743 eV per atom; energy above the most stable polymorph in this dataset = 1.4 kJ/mol of atoms; total energy = -0.18934 Ha/atom; crystal system = trigonal; space-group type = P-3m1, No. 164; ρ = 13.09 g/cm³; magnetic moment = 0.00 μB per formula unit
1.0
-4.015 3.048 0.923
-0.093 -4.892 1.523
2.578 1.697 5.609
Th Dy Au
1 2 3
direct
0.000 0.000 0.000
0.333 0.667 0.660
0.667 0.333 0.340
0.667 0.333 0.819
0.333 0.667 0.181
0.000 0.000 0.500

=====

Q: What is the formula in the third record?
A: Dy2ThAu3

=====

Q: The highest total energy belongs to which entry?
A: DyTe3Au2

=====

Q: Number 3 is which compound?
A: Dy2ThAu3

=====

Q: The highest ρ belongs to which entry?
A: Dy2ThAu3